{
  "formula": "V2HOsPd",
  "functional": "PBE",
  "state": "optimized geometry",
  "sg": "P4/mmm, No. 123",
  "magnetic_moment_mub_per_cell": 0.000,
  "de_polymorph_ev_per_atom": 0.000,
  "lattice_angstrom": [[3.910, 0.000, 0.000], [0.000, 3.910, 0.000], [0.000, 0.000, 3.794]],
  "species": ["V", "V", "H", "Os", "Pd"],
  "fractional_positions": [[0.000, 0.500, 0.000], [0.500, 0.000, 0.000], [0.000, 0.000, 0.000], [0.000, 0.000, 0.500], [0.500, 0.500, 0.500]]
}